The following is a DFT calculation (PBE-GGA) of Na4HgBi4 after structural relaxation.

* M_tot: 0.00 μB/cell
* crystal system: tetragonal
* V: 261.5 Å³ per cell
* Fermi-level density of states: 0.771 states/eV/atom
* energy of formation: -13 kJ per mole of atoms
* density: 7.17 g/cm³
* SG: I4/mmm

Cell lengths 7.575, 7.575, 7.575 Å; angles 96.64, 96.64, 140.24 degrees
Element x y z (fractional)
Na (0.164, 0.164, 0.329)
Na (0.164, 0.836, 0.000)
Na (0.836, 0.164, 0.000)
Na (0.836, 0.836, 0.671)
Hg (0.500, 0.500, 0.000)
Bi (0.170, 0.500, 0.670)
Bi (0.500, 0.170, 0.670)
Bi (0.500, 0.830, 0.330)
Bi (0.830, 0.500, 0.330)